A plane-wave DFT calculation with GGA-PBE was carried out for ZnAg2Os after structural relaxation.

Cell: 2.756 2.756 8.371 Å, 90.00 90.00 90.00°
Atoms (fractional coordinates):
1 Zn 0.000 0.000 0.000
2 Ag 0.000 0.000 0.517
3 Ag 0.500 0.500 0.246
4 Os 0.500 0.500 0.775

Values from the calculation:
Energy of formation (meV per atom): 351
Crystal system: tetragonal
Symmetry: P4mm